{
  "formula": "Y2RuW",
  "functional": "PBE-GGA",
  "state": "optimized geometry",
  "lattice_angstrom": [[3.179, 0.000, 0.000], [0.000, 3.179, 0.000], [0.000, 0.000, 8.886]],
  "species": ["Y", "Y", "Ru", "W"],
  "frac_coords": [[0.000, 0.000, 0.000], [0.500, 0.500, 0.373], [0.000, 0.000, 0.602], [0.500, 0.500, 0.757]],
  "dos_at_fermi_per_ev_cell": 3.00,
  "ef_mev_per_atom": 38
}

=====

{
  "formula": "Y4RuW",
  "functional": "PBE-GGA",
  "state": "optimized geometry",
  "lattice_angstrom": [[0.000, 4.164, 4.164], [4.164, 0.000, 4.164], [4.164, 4.164, 0.000]],
  "species": ["Y", "Y", "Y", "Y", "Ru", "W"],
  "frac_coords": [[0.125, 0.125, 0.125], [0.125, 0.125, 0.625], [0.125, 0.625, 0.125], [0.625, 0.125, 0.125], [0.750, 0.750, 0.750], [0.500, 0.500, 0.500]],
  "dos_at_fermi_per_ev_cell": 10.00,
  "ef_mev_per_atom": 1191
}

=====

{
  "formula": "Y2RuW",
  "functional": "PBE-GGA",
  "state": "optimized geometry",
  "lattice_angstrom": [[6.985, 0.000, 0.000], [0.000, 6.985, 0.000], [0.000, 0.000, 6.985]],
  "species": ["Y", "Y", "Y", "Y", "Y", "Y", "Y", "Y", "Ru", "Ru", "Ru", "Ru", "W", "W", "W", "W"],
  "frac_coords": [[0.250, 0.250, 0.250], [0.250, 0.250, 0.750], [0.250, 0.750, 0.250], [0.250, 0.750, 0.750], [0.750, 0.250, 0.250], [0.750, 0.250, 0.750], [0.750, 0.750, 0.250], [0.750, 0.750, 0.750], [0.000, 0.000, 0.000], [0.000, 0.500, 0.500], [0.500, 0.000, 0.500], [0.500, 0.500, 0.000], [0.000, 0.000, 0.500], [0.000, 0.500, 0.000], [0.500, 0.000, 0.000], [0.500, 0.500, 0.500]],
  "dos_at_fermi_per_ev_cell": 22.13,
  "ef_mev_per_atom": 427
}

=====

{
  "formula": "YRuW",
  "functional": "PBE-GGA",
  "state": "optimized geometry",
  "lattice_angstrom": [[3.154, 0.000, 0.000], [0.000, 3.154, 0.000], [0.000, 0.000, 11.582]],
  "species": ["Y", "Y", "Ru", "Ru", "W", "W"],
  "frac_coords": [[0.000, 0.000, 0.000], [0.500, 0.500, 0.500], [0.000, 0.000, 0.692], [0.500, 0.500, 0.192], [0.000, 0.000, 0.306], [0.500, 0.500, 0.806]],
  "dos_at_fermi_per_ev_cell": 7.89,
  "ef_mev_per_atom": 89
}

=====

{
  "formula": "Y2RuW",
  "functional": "PBE-GGA",
  "state": "optimized geometry",
  "lattice_angstrom": [[7.821, 0.000, 0.000], [0.000, 7.821, 0.000], [0.000, 0.000, 5.766]],
  "species": ["Y", "Y", "Y", "Y", "Y", "Y", "Y", "Y", "Ru", "Ru", "Ru", "Ru", "W", "W", "W", "W"],
  "frac_coords": [[0.218, 0.750, 0.125], [0.250, 0.218, 0.875], [0.250, 0.282, 0.375], [0.282, 0.750, 0.625], [0.718, 0.250, 0.625], [0.750, 0.718, 0.375], [0.750, 0.782, 0.875], [0.782, 0.250, 0.125], [0.000, 0.000, 0.000], [0.000, 0.500, 0.250], [0.500, 0.000, 0.750], [0.500, 0.500, 0.500], [0.000, 0.000, 0.500], [0.000, 0.500, 0.750], [0.500, 0.000, 0.250], [0.500, 0.500, 0.000]],
  "dos_at_fermi_per_ev_cell": 15.58,
  "ef_mev_per_atom": 776
}

=====

{
  "formula": "Y3RuW",
  "functional": "PBE-GGA",
  "state": "optimized geometry",
  "lattice_angstrom": [[5.284, 0.000, 0.000], [0.000, 5.284, 0.000], [0.000, 0.000, 5.284]],
  "species": ["Y", "Y", "Y", "Ru", "W"],
  "frac_coords": [[0.000, 0.000, 0.500], [0.000, 0.500, 0.000], [0.500, 0.000, 0.000], [0.500, 0.500, 0.500], [0.000, 0.000, 0.000]],
  "dos_at_fermi_per_ev_cell": 6.82,
  "ef_mev_per_atom": 1135
}

=====

{
  "formula": "Y3RuW",
  "functional": "PBE-GGA",
  "state": "optimized geometry",
  "lattice_angstrom": [[5.158, 0.000, 0.000], [0.000, 5.158, 0.000], [0.000, 0.000, 5.158]],
  "species": ["Y", "Y", "Y", "Ru", "W"],
  "frac_coords": [[0.000, 0.000, 0.500], [0.000, 0.500, 0.000], [0.500, 0.000, 0.000], [0.000, 0.000, 0.000], [0.500, 0.500, 0.500]],
  "dos_at_fermi_per_ev_cell": 7.58,
  "ef_mev_per_atom": 834
}

=====

{
  "formula": "Y2RuW",
  "functional": "PBE-GGA",
  "state": "optimized geometry",
  "lattice_angstrom": [[3.437, 0.000, 0.000], [0.000, 4.630, 0.000], [0.000, 0.000, 5.082]],
  "species": ["Y", "Y", "Ru", "W"],
  "frac_coords": [[0.000, 0.000, 0.000], [0.500, 0.000, 0.500], [0.000, 0.500, 0.500], [0.500, 0.500, 0.000]],
  "dos_at_fermi_per_ev_cell": 2.95,
  "ef_mev_per_atom": 455
}

=====

{
  "formula": "Y2RuW",
  "functional": "PBE-GGA",
  "state": "optimized geometry",
  "lattice_angstrom": [[4.071, 0.000, 0.000], [0.000, 4.071, 0.000], [0.000, 0.000, 10.086]],
  "species": ["Y", "Y", "Y", "Y", "Ru", "Ru", "W", "W"],
  "frac_coords": [[0.000, 0.000, 0.000], [0.000, 0.500, 0.250], [0.500, 0.000, 0.750], [0.500, 0.500, 0.500], [0.000, 0.500, 0.750], [0.500, 0.000, 0.250], [0.000, 0.000, 0.500], [0.500, 0.500, 0.000]],
  "dos_at_fermi_per_ev_cell": 10.07,
  "ef_mev_per_atom": 498
}

=====

{
  "formula": "Y2RuW",
  "functional": "PBE-GGA",
  "state": "optimized geometry",
  "lattice_angstrom": [[6.834, 0.000, 0.000], [0.000, 6.834, 0.000], [0.000, 0.000, 6.834]],
  "species": ["Y", "Y", "Y", "Y", "Y", "Y", "Y", "Y", "Ru", "Ru", "Ru", "Ru", "W", "W", "W", "W"],
  "frac_coords": [[0.000, 0.000, 0.000], [0.000, 0.500, 0.500], [0.250, 0.250, 0.250], [0.250, 0.750, 0.750], [0.500, 0.000, 0.500], [0.500, 0.500, 0.000], [0.750, 0.250, 0.750], [0.750, 0.750, 0.250], [0.000, 0.000, 0.500], [0.000, 0.500, 0.000], [0.500, 0.000, 0.000], [0.500, 0.500, 0.500], [0.250, 0.250, 0.750], [0.250, 0.750, 0.250], [0.750, 0.250, 0.250], [0.750, 0.750, 0.750]],
  "dos_at_fermi_per_ev_cell": 16.59,
  "ef_mev_per_atom": 410
}

=====

{
  "formula": "Y2RuW",
  "functional": "PBE-GGA",
  "state": "optimized geometry",
  "lattice_angstrom": [[3.361, 0.000, 0.000], [0.000, 3.361, 0.000], [0.000, 0.000, 7.402]],
  "species": ["Y", "Y", "Ru", "W"],
  "frac_coords": [[0.000, 0.000, 0.231], [0.000, 0.000, 0.769], [0.500, 0.500, 0.000], [0.500, 0.500, 0.500]],
  "dos_at_fermi_per_ev_cell": 5.24,
  "ef_mev_per_atom": 321
}

=====

{
  "formula": "YRuW3",
  "functional": "PBE-GGA",
  "state": "optimized geometry",
  "lattice_angstrom": [[4.771, 0.000, 0.000], [0.000, 4.771, 0.000], [0.000, 0.000, 4.771]],
  "species": ["Y", "Ru", "W", "W", "W"],
  "frac_coords": [[0.000, 0.000, 0.000], [0.500, 0.500, 0.500], [0.000, 0.500, 0.500], [0.500, 0.000, 0.500], [0.500, 0.500, 0.000]],
  "dos_at_fermi_per_ev_cell": 6.53,
  "ef_mev_per_atom": 1382
}